Entry 1:
AgTe2Ru: relaxed, GGA-PBE.

## Properties
The raw formation energy comes out at 0.571 eV/atom. Its energy above the most stable polymorph in this dataset is 0.564 eV per atom.

abc: 11.343 11.343 11.343
angles: 15.67 15.67 15.67
Sites, in units of the cell vectors:
Ag (0.000, 0.000, 0.000)
Te (0.424, 0.424, 0.424)
Te (0.576, 0.576, 0.576)
Ru (0.500, 0.500, 0.500)

---

Entry 2:
AgSeIO2: relaxed, GGA-PBE.

## Properties
The raw formation energy comes out at 0.584 eV/atom. Its energy above the most stable polymorph in this dataset is 0.584 eV per atom.

abc: 4.038 4.038 7.848
angles: 90.00 90.00 90.00
Sites, in units of the cell vectors:
Ag (0.000, 0.000, 0.000)
Se (0.500, 0.500, 0.500)
I (0.000, 0.000, 0.500)
O (0.000, 0.500, 0.000)
O (0.500, 0.000, 0.000)

---

Entry 3:
Rb4Dy3InSe8: relaxed, GGA-PBE.

## Properties
The raw formation energy comes out at -1.493 eV/atom.

abc: 9.373 9.373 9.373
angles: 53.60 53.60 53.60
Sites, in units of the cell vectors:
Rb (0.000, 0.000, 0.000)
Rb (0.000, 0.500, 0.500)
Rb (0.500, 0.000, 0.500)
Rb (0.500, 0.500, 0.000)
Dy (0.000, 0.000, 0.500)
Dy (0.000, 0.500, 0.000)
Dy (0.500, 0.000, 0.000)
In (0.500, 0.500, 0.500)
Se (0.232, 0.232, 0.232)
Se (0.236, 0.729, 0.729)
Se (0.271, 0.271, 0.764)
Se (0.271, 0.764, 0.271)
Se (0.729, 0.236, 0.729)
Se (0.729, 0.729, 0.236)
Se (0.764, 0.271, 0.271)
Se (0.768, 0.768, 0.768)

---

Entry 4:
GaAgSn: relaxed, GGA-PBE.

## Properties
As for the formation enthalpy at 0 K: 0.038 eV per atom.

abc: 6.989 6.989 6.989
angles: 142.14 56.44 139.76
Sites, in units of the cell vectors:
Ga (0.128, 0.000, 0.128)
Ga (0.872, 0.000, 0.872)
Ag (0.121, 0.621, 0.500)
Ag (0.488, 0.488, 0.000)
Sn (0.462, 0.113, 0.348)
Sn (0.765, 0.113, 0.652)

---

Entry 5:
CeAgPdRh: relaxed, GGA-PBE.

## Properties
As for the formation enthalpy at 0 K: -0.575 eV per atom. Its energy above the most stable polymorph in this dataset is 0.000 eV per atom.

abc: 3.886 4.185 4.505
angles: 90.00 90.00 90.00
Sites, in units of the cell vectors:
Ce (0.000, 0.000, 0.000)
Ag (0.000, 0.500, 0.500)
Pd (0.500, 0.000, 0.500)
Rh (0.500, 0.500, 0.000)

---

Entry 6:
Ac8Rh3CI4: relaxed, GGA-PBE.

## Properties
The raw formation energy comes out at -0.874 eV/atom.

abc: 8.662 8.662 9.968
angles: 115.77 115.77 59.90
Sites, in units of the cell vectors:
Ac (0.218, 0.218, 0.677)
Ac (0.218, 0.741, 0.677)
Ac (0.259, 0.782, 0.323)
Ac (0.271, 0.271, 0.312)
Ac (0.729, 0.729, 0.688)
Ac (0.741, 0.218, 0.677)
Ac (0.782, 0.259, 0.323)
Ac (0.782, 0.782, 0.323)
Rh (0.000, 0.500, 0.500)
Rh (0.500, 0.000, 0.500)
Rh (0.500, 0.500, 0.500)
C (0.000, 0.000, 0.500)
I (0.000, 0.000, 0.000)
I (0.000, 0.500, 0.000)
I (0.500, 0.000, 0.000)
I (0.500, 0.500, 0.000)

---

Question: Which formula does entry 2 have?
Answer: AgSeIO2

---

What did the second record say?
AgSeIO2: relaxed, GGA-PBE.

## Properties
The raw formation energy comes out at 0.584 eV/atom. Its energy above the most stable polymorph in this dataset is 0.584 eV per atom.

abc: 4.038 4.038 7.848
angles: 90.00 90.00 90.00
Sites, in units of the cell vectors:
Ag (0.000, 0.000, 0.000)
Se (0.500, 0.500, 0.500)
I (0.000, 0.000, 0.500)
O (0.000, 0.500, 0.000)
O (0.500, 0.000, 0.000)